Entry 1:
## Tb4CdPt2 (PBE)

Data for a relaxed Tb4CdPt2 crystal.

Unit cell a=4.7314 b=4.7314 c=29.3759 alpha=90.00 beta=90.00 gamma=120.00
With the nearest neighbours (Å) after each atom.
Space group R-3m (No. 166, hexagonal axes)
Asymmetric unit:
Tb 0.0000 0.0000 0.1109 (multiplicity 6)  3 Pt 3.02, 3 Cd 3.18
Tb 0.0000 0.0000 0.2984 (multiplicity 6)  4 Pt 2.89-3.01
Cd 0.0000 0.0000 0.5000 (multiplicity 3)  2 Pt 2.92, 6 Tb 3.18
Pt 0.0000 0.0000 0.4008 (multiplicity 6)  7 Tb 2.89-3.02, 1 Cd 2.92

## Properties
- Crystal system: trigonal
- Energy of formation from the pure elements: -730 meV/atom

---

Entry 2:
## Y5Al4Ga (PBE)

Data for a relaxed Y5Al4Ga crystal.

Unit cell a=3.5948 b=3.5948 c=18.0992 alpha=90.00 beta=90.00 gamma=90.00
With the nearest neighbours (Å) after each atom.
Space group P4/mmm (No. 123)
Asymmetric unit:
Y 0.0000 0.0000 0.0000 (multiplicity 1)  8 Al 3.12
Y 0.0000 0.0000 0.2001 (multiplicity 2)  8 Al 3.12
Y 0.0000 0.0000 0.4015 (multiplicity 2)  4 Ga 3.11, 4 Al 3.13
Al 0.5000 0.5000 0.1002 (multiplicity 2)  8 Y 3.12
Al 0.5000 0.5000 0.3004 (multiplicity 2)  8 Y 3.12-3.13
Ga 0.5000 0.5000 0.5000 (multiplicity 1)  8 Y 3.11

## Properties
- Crystal system: tetragonal
- Energy of formation from the pure elements: -453 meV/atom

---

Entry 3:
## YH3Rh (PBE)

Data for a relaxed YH3Rh crystal.

Unit cell a=3.1368 b=6.0370 c=5.6834 alpha=90.00 beta=90.00 gamma=90.00
With the nearest neighbours (Å) after each atom.
Space group Pmmn (No. 59, origin choice 2)
Asymmetric unit:
Y 0.2500 0.2500 0.1939 (multiplicity 2)  2 H 2.12
H 0.2500 0.0828 0.7750 (multiplicity 4)  2 Rh 1.87, 1 H 2.02
H 0.2500 0.7500 0.5546 (multiplicity 2)  1 Rh 1.78
Rh 0.2500 0.7500 0.2410 (multiplicity 2)  5 H 1.78-1.87

## Properties
- Crystal system: orthorhombic

---

Entry 4:
## CrPd2Pt (PBE)

Data for a relaxed CrPd2Pt crystal.

Unit cell a=6.1806 b=6.1806 c=6.1806 alpha=90.00 beta=90.00 gamma=90.00
With the nearest neighbours (Å) after each atom.
Space group Fm-3m (No. 225)
Asymmetric unit:
Cr 0.0000 0.0000 0.0000 (multiplicity 4)  8 Pd 2.68
Pd 0.2500 0.2500 0.2500 (multiplicity 8)  4 Cr 2.68, 4 Pt 2.68
Pt 0.0000 0.0000 0.5000 (multiplicity 4)  8 Pd 2.68

## Properties
- Crystal system: cubic
- Energy of formation from the pure elements: 206 meV/atom

---

Entry 5:
## Li2TaCo (PBE)

Data for a relaxed Li2TaCo crystal.

Unit cell a=8.7718 b=2.7357 c=5.1014 alpha=90.00 beta=105.48 gamma=90.00
With the nearest neighbours (Å) after each atom.
Space group Cm (No. 8)
Asymmetric unit:
Li 0.0000 0.0000 0.0000 (multiplicity 2)  3 Li 2.40-2.63, 2 Co 2.56
Li 0.2347 0.0000 0.8416 (multiplicity 2)  3 Li 2.40-2.63
Ta 0.4441 0.0000 0.4613 (multiplicity 2)  3 Co 2.43-2.48
Co 0.1988 0.5000 0.3586 (multiplicity 2)  3 Ta 2.43-2.48, 2 Li 2.56

## Properties
- Crystal system: monoclinic
- Energy of formation from the pure elements: 303 meV/atom

---

Entry 6:
## ZnSeBr2 (PBE)

Data for a relaxed ZnSeBr2 crystal.

Unit cell a=7.1454 b=7.1454 c=7.1454 alpha=90.00 beta=90.00 gamma=90.00
With the nearest neighbours (Å) after each atom.
Space group F-43m (No. 216)
Asymmetric unit:
Zn 0.0000 0.0000 0.0000 (multiplicity 4)  4 Se 3.09, 4 Br 3.09
Se 0.2500 0.2500 0.2500 (multiplicity 4)  4 Br 3.09, 4 Zn 3.09
Br 0.0000 0.0000 0.5000 (multiplicity 4)  4 Br 3.09, 4 Se 3.09
Br 0.2500 0.2500 0.7500 (multiplicity 4)  4 Br 3.09, 4 Zn 3.09

## Properties
- Crystal system: cubic
- Uncorrected formation energy: 0.427 eV/atom

---

Entry 7:
## DyScCl4 (PBE)

Data for a relaxed DyScCl4 crystal.

Unit cell a=6.5731 b=6.6555 c=8.8515 alpha=104.17 beta=102.20 gamma=111.19
With the nearest neighbours (Å) after each atom.
Space group P-1 (No. 2)
Asymmetric unit:
Dy 0.0871 0.3239 0.1255 (multiplicity 2)  6 Cl 2.58-2.82
Sc 0.4382 0.2445 0.8948 (multiplicity 2)  5 Cl 2.53-2.67
Cl 0.0834 0.8793 0.6804 (multiplicity 2)  1 Sc 2.59, 1 Dy 2.63
Cl 0.1758 0.4504 0.8606 (multiplicity 2)  2 Sc 2.58-2.66, 2 Dy 2.67-2.78
Cl 0.3200 0.0455 0.1104 (multiplicity 2)  2 Sc 2.67-2.91, 2 Dy 2.79-2.82
Cl 0.4243 0.6960 0.3435 (multiplicity 2)  1 Sc 2.53, 1 Dy 2.58

## Properties
- Crystal system: triclinic
- Uncorrected formation energy: -1.833 eV/atom

---

Entry 8:
## Cs2Na7Cd (PBE)

Data for a relaxed Cs2Na7Cd crystal.

Unit cell a=5.9403 b=5.9403 c=13.6875 alpha=90.00 beta=90.00 gamma=90.00
With the nearest neighbours (Å) after each atom.
Space group P-4m2 (No. 115)
Asymmetric unit:
Cs 0.0000 0.5000 0.2344 (multiplicity 2)  2 Cd 4.37, 15 Na 4.37-4.71
Na 0.0000 0.0000 0.0000 (multiplicity 1)  4 Na 3.33
Na 0.0000 0.0000 0.5000 (multiplicity 1)  4 Na 3.51
Na 0.0000 0.5000 0.6364 (multiplicity 2)  5 Na 3.47-3.51
Na 0.0000 0.5000 0.8903 (multiplicity 2)  2 Cd 3.33, 3 Na 3.33-3.47
Na 0.5000 0.5000 0.5000 (multiplicity 1)  4 Na 3.51
Cd 0.5000 0.5000 0.0000 (multiplicity 1)  4 Na 3.33

## Properties
- Crystal system: tetragonal
- Energy of formation from the pure elements: 40 meV/atom

---

Entry 9:
## La4CdSnO (PBE)

Data for a relaxed La4CdSnO crystal.

Unit cell a=6.9659 b=17.1329 c=6.9800 alpha=90.00 beta=90.00 gamma=90.00
With the nearest neighbours (Å) after each atom.
Space group Cmcm (No. 63)
Asymmetric unit:
La 0.0000 0.0757 0.2500 (multiplicity 4)  1 O 2.98, 1 Cd 3.26
La 0.0000 0.4222 0.2500 (multiplicity 4)  1 O 2.96, 1 Sn 3.24
La 0.2500 0.2500 0.0000 (multiplicity 8)  2 O 2.47
Cd 0.0000 0.1145 0.7500 (multiplicity 4)  9 La 3.26-3.55
Sn 0.0000 0.3885 0.7500 (multiplicity 4)  9 La 3.24-3.54
O 0.0000 0.2494 0.2500 (multiplicity 4)  4 La 2.47

## Properties
- Crystal system: orthorhombic
- Uncorrected formation energy: -1.122 eV/atom

---

Entry 10:
## Pr3Ag2Ru (PBE)

Data for a relaxed Pr3Ag2Ru crystal.

Unit cell a=5.2110 b=15.4097 c=7.5992 alpha=90.00 beta=90.00 gamma=90.00
With the nearest neighbours (Å) after each atom.
Space group Cmmm (No. 65)
Asymmetric unit:
Pr 0.0000 0.0000 0.2330 (multiplicity 4)  2 Ru 3.09, 6 Ag 3.15-3.30
Pr 0.0000 0.3265 0.2285 (multiplicity 8)  3 Ru 3.04-3.13, 5 Ag 3.19-3.38
Ag 0.0000 0.1639 0.5000 (multiplicity 4)  8 Pr 3.24-3.33
Ag 0.0000 0.5000 0.0000 (multiplicity 2)  8 Pr 3.15-3.19
Ag 0.0000 0.5000 0.5000 (multiplicity 2)  8 Pr 3.30-3.38, 4 Ag 3.63
Ru 0.0000 0.1646 0.0000 (multiplicity 4)  8 Pr 3.04-3.13

## Properties
- Crystal system: orthorhombic
- Energy of formation from the pure elements: -216 meV/atom

---

Entry 11:
## Zn2NiPt5 (PBE)

Data for a relaxed Zn2NiPt5 crystal.

Unit cell a=5.4707 b=10.8786 c=3.9312 alpha=90.00 beta=90.00 gamma=90.00
With the nearest neighbours (Å) after each atom.
Space group Pbam (No. 55)
Asymmetric unit:
Zn 0.2332 0.1268 0.0000 (multiplicity 4)  10 Pt 2.67-2.80, 2 Ni 2.81
Ni 0.0000 0.5000 0.5000 (multiplicity 2)  8 Pt 2.65-2.74, 4 Zn 2.81
Pt 0.0000 0.0000 0.5000 (multiplicity 2)  4 Zn 2.72, 2 Ni 2.74, 6 Pt 2.78
Pt 0.0252 0.7446 0.5000 (multiplicity 4)  1 Ni 2.66, 4 Zn 2.69-2.80, 7 Pt 2.74-2.82
Pt 0.2269 0.3824 0.0000 (multiplicity 4)  2 Ni 2.65, 4 Zn 2.67-2.78, 6 Pt 2.77-2.82

## Properties
- Crystal system: orthorhombic
- Energy of formation from the pure elements: -327 meV/atom

---

Entry 12:
## TmMg2Tl3 (PBE)

Data for a relaxed TmMg2Tl3 crystal.

Unit cell a=3.5714 b=3.5714 c=11.8044 alpha=90.00 beta=90.00 gamma=90.00
With the nearest neighbours (Å) after each atom.
Space group P4/mmm (No. 123)
Asymmetric unit:
Tm 0.0000 0.0000 0.0000 (multiplicity 1)  8 Tl 3.28, 4 Tm 3.57
Mg 0.0000 0.0000 0.3370 (multiplicity 2)  8 Tl 3.15-3.18
Tl 0.5000 0.5000 0.1772 (multiplicity 2)  4 Mg 3.15, 4 Tm 3.28
Tl 0.5000 0.5000 0.5000 (multiplicity 1)  8 Mg 3.18

## Properties
- Crystal system: tetragonal
- Energy of formation from the pure elements: -115 meV/atom

---

Entry 13:
## Ce2ErAg2Sn2 (PBE)

Data for a relaxed Ce2ErAg2Sn2 crystal.

Unit cell a=4.7125 b=4.7125 c=26.8582 alpha=90.00 beta=90.00 gamma=120.00
With the nearest neighbours (Å) after each atom.
Space group R-3m (No. 166, hexagonal axes)
Asymmetric unit:
Ce 0.0000 0.0000 0.1428 (multiplicity 6)  3 Ce 3.01, 3 Ag 3.15
Er 0.0000 0.0000 0.0000 (multiplicity 3)  6 Sn 3.21, 6 Ag 3.53
Ag 0.0000 0.0000 0.4169 (multiplicity 6)  3 Sn 2.77
Sn 0.0000 0.0000 0.2696 (multiplicity 6)  3 Ag 2.77

## Properties
- Crystal system: trigonal
- Energy of formation from the pure elements: -334 meV/atom

---

Entry 14:
## CaPm3Sn12 (PBE)

Data for a relaxed CaPm3Sn12 crystal.

Unit cell a=4.7458 b=4.7458 c=19.1182 alpha=90.00 beta=90.00 gamma=90.00
With the nearest neighbours (Å) after each atom.
Space group P4/mmm (No. 123)
Asymmetric unit:
Ca 0.0000 0.0000 0.0000 (multiplicity 1)  12 Sn 3.36
Pm 0.0000 0.0000 0.2519 (multiplicity 2)  12 Sn 3.35-3.40
Pm 0.0000 0.0000 0.5000 (multiplicity 1)  12 Sn 3.36
Sn 0.0000 0.5000 0.1244 (multiplicity 4)  8 Sn 3.36-3.37, 2 Ca 3.36, 2 Pm 3.40
Sn 0.0000 0.5000 0.3755 (multiplicity 4)  4 Pm 3.35-3.36, 8 Sn 3.36-3.38
Sn 0.5000 0.5000 0.0000 (multiplicity 1)  4 Ca 3.36, 8 Sn 3.36
Sn 0.5000 0.5000 0.2496 (multiplicity 2)  4 Pm 3.36, 8 Sn 3.37-3.38
Sn 0.5000 0.5000 0.5000 (multiplicity 1)  4 Pm 3.36, 8 Sn 3.36

## Properties
- Crystal system: tetragonal
- Energy of formation from the pure elements: -469 meV/atom

---

Entry 15:
## NaHCl (PBE)

Data for a relaxed NaHCl crystal.

Unit cell a=4.5342 b=4.5582 c=8.1909 alpha=84.14 beta=84.01 gamma=60.20
With the nearest neighbours (Å) after each atom.
Space group P1 (No. 1)
Asymmetric unit:
Na 0.0000 0.0000 0.0000 (multiplicity 1)  4 Cl 2.66-2.82
Na 0.3775 0.3894 0.6110 (multiplicity 1)  2 H 2.43-2.53, 3 Cl 2.65-2.66
H 0.3052 0.2841 0.3370 (multiplicity 1)  1 H 0.76
H 0.3941 0.3819 0.3018 (multiplicity 1)  1 H 0.76
Cl 0.0388 0.0473 0.6536 (multiplicity 1)  4 Na 2.65-2.82
Cl 0.6605 0.6580 0.0554 (multiplicity 1)  3 Na 2.66-2.67, 1 H 2.76

## Properties
- Crystal system: triclinic

---

Entry 16:
## NbSi2Rh (PBE)

Data for a relaxed NbSi2Rh crystal.

Unit cell a=6.1293 b=6.1293 c=6.1293 alpha=90.00 beta=90.00 gamma=90.00
With the nearest neighbours (Å) after each atom.
Space group Fm-3m (No. 225)
Asymmetric unit:
Nb 0.0000 0.0000 0.0000 (multiplicity 4)  8 Si 2.65
Si 0.2500 0.2500 0.2500 (multiplicity 8)  4 Nb 2.65, 4 Rh 2.65
Rh 0.0000 0.0000 0.5000 (multiplicity 4)  8 Si 2.65

## Properties
- Crystal system: cubic
- Uncorrected formation energy: -0.366 eV/atom

---

Entry 17:
## Er3ZnTe2 (PBE)

Data for a relaxed Er3ZnTe2 crystal.

Unit cell a=4.0971 b=6.0441 c=13.2639 alpha=90.00 beta=90.00 gamma=90.00
With the nearest neighbours (Å) after each atom.
Space group Immm (No. 71)
Asymmetric unit:
Er 0.0000 0.0000 0.0000 (multiplicity 2)  2 Zn 3.02, 4 Te 3.08
Er 0.0000 0.0000 0.3473 (multiplicity 4)  2 Zn 2.88, 4 Te 3.03-3.08
Zn 0.0000 0.5000 0.0000 (multiplicity 2)  6 Er 2.88-3.02
Te 0.0000 0.5000 0.3266 (multiplicity 4)  6 Er 3.03-3.08

## Properties
- Crystal system: orthorhombic
- Uncorrected formation energy: -0.911 eV/atom

---

Entry 18:
## Nd8Ag2Sn (PBE)

Data for a relaxed Nd8Ag2Sn crystal.

Unit cell a=17.6660 b=5.1377 c=8.1824 alpha=90.00 beta=114.74 gamma=90.00
With the nearest neighbours (Å) after each atom.
Space group C2/m (No. 12)
Asymmetric unit:
Nd 0.0429 0.0000 0.2595 (multiplicity 4)  1 Ag 3.13, 4 Nd 3.44-3.47, 2 Sn 3.51
Nd 0.0935 0.5000 0.9606 (multiplicity 4)  2 Ag 3.15, 1 Sn 3.42, 2 Nd 3.47
Nd 0.1744 0.0000 0.7625 (multiplicity 4)  3 Ag 3.07-3.34
Nd 0.1800 0.5000 0.4628 (multiplicity 4)  1 Ag 2.99, 1 Sn 3.32
Ag 0.1942 0.0000 0.1540 (multiplicity 4)  7 Nd 2.99-3.34
Sn 0.0000 0.5000 0.5000 (multiplicity 2)  8 Nd 3.32-3.51

## Properties
- Crystal system: monoclinic
- Energy of formation from the pure elements: -207 meV/atom

---

Entry 19:
## LiLaMn2 (PBE)

Data for a relaxed LiLaMn2 crystal.

Unit cell a=6.9556 b=6.9556 c=6.9556 alpha=90.00 beta=90.00 gamma=90.00
With the nearest neighbours (Å) after each atom.
Space group Fm-3m (No. 225)
Asymmetric unit:
Li 0.0000 0.0000 0.0000 (multiplicity 4)  8 Mn 3.01
La 0.0000 0.0000 0.5000 (multiplicity 4)  8 Mn 3.01
Mn 0.2500 0.2500 0.2500 (multiplicity 8)  4 La 3.01, 4 Li 3.01

## Properties
- Crystal system: cubic
- Energy of formation from the pure elements: 508 meV/atom

---

Entry 20:
## LiInAs2 (PBE)

Data for a relaxed LiInAs2 crystal.

Unit cell a=8.5197 b=3.7621 c=5.6092 alpha=90.00 beta=108.50 gamma=90.00
With the nearest neighbours (Å) after each atom.
Space group C2/m (No. 12)
Asymmetric unit:
Li 0.0000 0.0000 0.0000 (multiplicity 2)  6 As 2.59-2.80
In 0.0000 0.5000 0.5000 (multiplicity 2)  6 As 2.97-3.23
As 0.2460 0.0000 0.8226 (multiplicity 4)  3 Li 2.59-2.80, 2 As 2.72

## Properties
- Crystal system: monoclinic
- Energy of formation from the pure elements: -195 meV/atom

---

no.,E (eV/atom)
1,-5.2322
2,-5.4848
3,-5.1080
4,-6.3060
5,-5.3934
6,-1.5990
7,-4.8863
8,-1.1456
9,-5.3486
10,-5.1022
11,-5.1438
12,-2.5748
13,-4.6394
14,-4.4872
15,-3.2967
16,-7.4329
17,-4.4519
18,-4.5569
19,-5.7867
20,-3.6826